The following is a PBE-GGA calculation of a geometry-optimized CeZn8Pt4 structure, from Alexandria via LeMat-Bulk.

The structure belongs to space group I4/mmm (No. 139); the cell edges are 8.849, 8.849 and 5.487 Å and the angles 90.00°, 90.00° and 90.00°. The inequivalent atoms are Ce at (0.000, 0.000, 0.000), Zn at (0.000, 0.217, 0.500), Zn at (0.000, 0.349, 0.000) and Pt at (0.250, 0.250, 0.250).

As for the calculated formation energy: -0.494 eV/atom.



The following is a PBE-GGA calculation of a geometry-optimized Ce2ZnPt5 structure, from Alexandria via LeMat-Bulk.

The structure belongs to space group I4mm (No. 107); the cell edges are 6.250, 6.250 and 7.880 Å and the angles 90.00°, 90.00° and 90.00°. The inequivalent atoms are Ce at (0.000, 0.500, 0.000), Zn at (0.000, 0.000, 0.152), Pt at (0.000, 0.000, 0.492) and Pt at (0.224, 0.224, 0.757).

As for the calculated formation energy: -0.823 eV/atom.



The following is a PBE-GGA calculation of a geometry-optimized Ce3ZnPt structure, from Alexandria via LeMat-Bulk.

The structure belongs to space group P2_1/m (No. 11); the cell edges are 5.518, 5.906 and 7.701 Å and the angles 90.00°, 110.97° and 90.00°. The inequivalent atoms are Ce at (0.000, 0.000, 0.000), Ce at (0.201, 0.250, 0.401), Ce at (0.410, 0.250, 0.821), Zn at (0.201, 0.750, 0.404) and Pt at (0.390, 0.750, 0.781).

As for the calculated formation energy: -0.364 eV/atom.



The following is a PBE-GGA calculation of a geometry-optimized Ce2ZnPt3 structure, from Alexandria via LeMat-Bulk.

The structure belongs to space group Fmmm (No. 69); the cell edges are 7.076, 9.440 and 15.072 Å and the angles 90.00°, 90.00° and 90.00°. The inequivalent atoms are Ce at (0.249, 0.000, 0.000), Ce at (0.250, 0.250, 0.250), Zn at (0.000, 0.000, 0.328), Pt at (0.000, 0.000, 0.161) and Pt at (0.000, 0.233, 0.409).

As for the calculated formation energy: -0.904 eV/atom.



Q: Which of these has the highest calculated formation energy?
A: Ce3ZnPt



Q: Number 3 is which compound?
A: Ce3ZnPt